1.
PBE-GGA Ba2LaMo, relaxed; Fermi-level density of states = 1.40 states/eV per atom; space group = No. 123; calculated formation energy = 86 kJ per mole of atoms
1.0
4.958 0.000 0.000
0.000 4.958 0.000
0.000 0.000 5.804
Mo Ba La
1 2 1
Direct
0.000 0.500 0.500
0.000 0.000 0.000
0.500 0.500 0.000
0.500 0.000 0.500


2.
PBE-GGA Ba2LaMo, relaxed; Fermi-level density of states = 1.44 states/eV per atom; space group = No. 225; calculated formation energy = 94 kJ per mole of atoms
1.0
0.382 -5.620 -1.868
-4.789 -2.727 -2.201
-0.314 -1.227 -5.798
Ba La Mo
2 1 1
Direct
0.750 0.750 0.750
0.250 0.250 0.250
0.500 0.500 0.500
0.000 0.000 0.000


3.
PBE-GGA BaLaMo, relaxed; Fermi-level density of states = 1.74 states/eV per atom; space group = No. 216; calculated formation energy = 100 kJ per mole of atoms
1.0
-0.863 -2.744 4.381
3.701 -0.260 3.702
-0.677 2.491 4.562
Mo Ba La
1 1 1
Direct
0.750 0.750 0.750
0.000 0.000 0.000
0.500 0.500 0.500


4.
PBE-GGA BaLaMoN4, relaxed; formation energy without anion corrections = -721 meV/atom; Fermi-level density of states = 0.39 states/eV per atom; space group = No. 11
1.0
-5.755 -0.247 -2.573
-2.143 -2.667 5.050
0.423 6.586 3.657
Mo N La Ba
2 8 2 2
Direct
0.743 0.250 0.675
0.257 0.750 0.325
0.551 0.250 0.826
0.934 0.490 0.702
0.066 0.510 0.298
0.066 0.990 0.298
0.448 0.750 0.563
0.934 0.010 0.702
0.449 0.750 0.174
0.552 0.250 0.437
0.797 0.750 0.448
0.203 0.250 0.552
0.712 0.750 0.923
0.288 0.250 0.077


Number 1: final energy -4.0106 eV per atom, total magnetic moment 2.16 Bohr magnetons per cell. Number 2: final energy -3.9244 eV per atom, total magnetic moment 2.78 Bohr magnetons per cell. Number 3: final energy -4.8620 eV per atom, total magnetic moment 1.31 Bohr magnetons per cell. Number 4: final energy -8.0045 eV per atom, total magnetic moment 2.11 Bohr magnetons per cell.